Compound: Tl2NiAsF6
Source: Alexandria
Functional: PBE with a Hubbard U
Structure: relaxed

extended XYZ file:
```
10
Lattice="-1.899 4.887 -1.531 -5.354 -1.744 1.157 -3.019 4.118 4.659" Properties=species:S:1:pos:R:3 pbc="T T T"
Tl -4.296 5.274 1.387
Tl -5.976 1.987 2.898
Ni 0.000 0.000 0.000
As -3.626 1.572 -0.187
F -2.895 3.072 2.983
F -5.258 2.795 0.066
F -7.841 4.039 4.678
F -2.430 3.222 -0.393
F -5.014 4.467 4.219
F -7.376 4.190 1.302
```

## Properties
As for the total moment: 3.00 μB per formula unit. As for the uncorrected energy: -4.13 eV/atom. Its crystal system is triclinic. As for the symmetry: P-1, No. 2. The calculation puts the density at 6.37 g/cm3.